First-principles (PBE) data for SrRuNO2 after structural relaxation, as listed in Alexandria.

Cell: 4.071 4.071 3.786 Å, 90.00 90.00 90.00°
Fractional coordinates of all 5 atoms:
Sr 0.000 0.000 0.000
Ru 0.500 0.500 0.500
N 0.500 0.500 0.000
O 0.000 0.500 0.500
O 0.500 0.000 0.500

Computed properties:
magnetic moment: 0.1 μB per formula unit
SG: P4/mmm (123)



First-principles (PBE) data for TaRuNO2 after structural relaxation, as listed in Alexandria.

Cell: 3.848 3.848 3.850 Å, 90.00 90.00 90.00°
Fractional coordinates of all 5 atoms:
Ta 0.000 0.000 0.000
Ru 0.500 0.500 0.500
N 0.500 0.500 0.000
O 0.000 0.500 0.500
O 0.500 0.000 0.500

Computed properties:
magnetic moment: 0.0 μB per formula unit
SG: P4/mmm (123)



First-principles (PBE) data for TaRu2NO after structural relaxation, as listed in Alexandria.

Cell: 3.966 3.966 4.162 Å, 90.00 90.00 90.00°
Fractional coordinates of all 5 atoms:
Ta 0.000 0.000 0.000
Ru 0.000 0.500 0.500
Ru 0.500 0.000 0.500
N 0.500 0.500 0.000
O 0.000 0.000 0.500

Computed properties:
magnetic moment: 0.5 μB per formula unit
SG: P4/mmm (123)



First-principles (PBE) data for TaRuNO2 after structural relaxation, as listed in Alexandria.

Cell: 3.941 3.941 4.149 Å, 90.00 90.00 90.00°
Fractional coordinates of all 5 atoms:
Ta 0.000 0.000 0.000
Ru 0.500 0.500 0.500
N 0.000 0.000 0.500
O 0.000 0.500 0.000
O 0.500 0.000 0.000

Computed properties:
magnetic moment: 3.9 μB per formula unit
SG: P4/mmm (123)



First-principles (PBE) data for TcRuN2O after structural relaxation, as listed in Alexandria.

Cell: 3.822 3.822 4.017 Å, 90.00 90.00 90.00°
Fractional coordinates of all 5 atoms:
Tc 0.000 0.000 0.000
Ru 0.500 0.500 0.500
N 0.000 0.500 0.500
N 0.500 0.000 0.500
O 0.500 0.500 0.000

Computed properties:
magnetic moment: 3.5 μB per formula unit
SG: P4/mmm (123)



First-principles (PBE) data for TcRuN2O after structural relaxation, as listed in Alexandria.

Cell: 3.906 3.906 3.837 Å, 90.00 90.00 90.00°
Fractional coordinates of all 5 atoms:
Tc 0.000 0.000 0.000
Ru 0.500 0.500 0.500
N 0.000 0.500 0.000
N 0.500 0.000 0.000
O 0.000 0.000 0.500

Computed properties:
magnetic moment: 2.9 μB per formula unit
SG: P4/mmm (123)



First-principles (PBE) data for TeRuNO2 after structural relaxation, as listed in Alexandria.

Cell: 4.030 4.030 3.839 Å, 90.00 90.00 90.00°
Fractional coordinates of all 5 atoms:
Te 0.000 0.000 0.000
Ru 0.500 0.500 0.500
N 0.500 0.500 0.000
O 0.000 0.500 0.500
O 0.500 0.000 0.500

Computed properties:
magnetic moment: 0.0 μB per formula unit
SG: P4/mmm (123)



First-principles (PBE) data for TeRuNO2 after structural relaxation, as listed in Alexandria.

Cell: 4.032 4.032 4.128 Å, 90.00 90.00 90.00°
Fractional coordinates of all 5 atoms:
Te 0.000 0.000 0.000
Ru 0.500 0.500 0.500
N 0.000 0.000 0.500
O 0.000 0.500 0.000
O 0.500 0.000 0.000

Computed properties:
magnetic moment: 3.9 μB per formula unit
SG: P4/mmm (123)



First-principles (PBE) data for TiRuN2O after structural relaxation, as listed in Alexandria.

Cell: 3.973 3.973 3.711 Å, 90.00 90.00 90.00°
Fractional coordinates of all 5 atoms:
Ti 0.000 0.000 0.000
Ru 0.500 0.500 0.500
N 0.000 0.500 0.000
N 0.500 0.000 0.000
O 0.000 0.000 0.500

Computed properties:
magnetic moment: 2.4 μB per formula unit
SG: P4/mmm (123)



First-principles (PBE) data for TiRuN2O after structural relaxation, as listed in Alexandria.

Cell: 3.654 3.654 5.873 Å, 90.00 90.00 90.00°
Fractional coordinates of all 5 atoms:
Ti 0.000 0.000 0.000
Ru 0.000 0.000 0.500
N 0.000 0.500 0.000
N 0.500 0.000 0.000
O 0.500 0.500 0.500

Computed properties:
magnetic moment: 3.5 μB per formula unit
SG: P4/mmm (123)



First-principles (PBE) data for TiRuN2O after structural relaxation, as listed in Alexandria.

Cell: 3.794 3.794 3.931 Å, 90.00 90.00 90.00°
Fractional coordinates of all 5 atoms:
Ti 0.000 0.000 0.000
Ru 0.500 0.500 0.500
N 0.000 0.500 0.500
N 0.500 0.000 0.500
O 0.500 0.500 0.000

Computed properties:
magnetic moment: 0.0 μB per formula unit
SG: P4/mmm (123)



First-principles (PBE) data for TlRuNO2 after structural relaxation, as listed in Alexandria.

Cell: 4.249 4.249 4.242 Å, 90.00 90.00 90.00°
Fractional coordinates of all 5 atoms:
Tl 0.000 0.000 0.000
Ru 0.500 0.500 0.500
N 0.000 0.000 0.500
O 0.000 0.500 0.000
O 0.500 0.000 0.000

Computed properties:
magnetic moment: 5.2 μB per formula unit
SG: P4/mmm (123)



First-principles (PBE) data for TlRuNO2 after structural relaxation, as listed in Alexandria.

Cell: 4.048 4.048 3.847 Å, 90.00 90.00 90.00°
Fractional coordinates of all 5 atoms:
Tl 0.000 0.000 0.000
Ru 0.500 0.500 0.500
N 0.500 0.500 0.000
O 0.000 0.500 0.500
O 0.500 0.000 0.500

Computed properties:
magnetic moment: 0.0 μB per formula unit
SG: P4/mmm (123)



| no. | DOS at the Fermi energy (states/eV per cell) | final energy (eV per atom) |
| --- | --- | --- |
| 1 | 4.14 | -6.978 |
| 2 | 3.56 | -7.656 |
| 3 | 3.67 | -7.924 |
| 4 | 3.59 | -8.481 |
| 5 | 4.06 | -7.244 |
| 6 | 3.10 | -7.463 |
| 7 | 4.21 | -5.909 |
| 8 | 5.27 | -5.328 |
| 9 | 5.31 | -7.479 |
| 10 | 3.31 | -6.602 |
| 11 | 4.92 | -7.531 |
| 12 | 2.40 | -4.506 |
| 13 | 5.01 | -6.084 |